Ca2Se | the Alexandria database | PBE-GGA | optimized geometry; symmetry = Pnnm, No. 58; DOS(E_F) = 1.67 states/eV/f.u.; VASP energy = -21.84 eV/cell; ρ = 2.63 g/cm³; raw formation energy = -1.14 eV per atom
1.0
6.894 0.000 0.000
0.000 7.147 0.000
0.000 0.000 4.078
Ca Se
4 2
direct
0.244 0.167 0.000 Ca
0.256 0.667 0.500 Ca
0.744 0.333 0.500 Ca
0.756 0.833 0.000 Ca
0.000 0.500 0.000 Se
0.500 0.000 0.500 Se

***

NaMnCrTe3 | the Alexandria database | PBE-GGA | optimized geometry; symmetry = P2_1/m, No. 11; DOS(E_F) = 3.20 states/eV/f.u.; VASP energy = -63.01 eV/cell; ρ = 5.15 g/cm³; raw formation energy = -0.33 eV per atom
1.0
8.574 0.000 0.000
0.000 4.118 0.000
-2.619 0.000 9.369
Na Mn Cr Te
2 2 2 6
direct
0.196 0.250 0.245 Na
0.804 0.750 0.755 Na
0.077 0.250 0.603 Mn
0.923 0.750 0.397 Mn
0.336 0.750 0.854 Cr
0.664 0.250 0.146 Cr
0.122 0.250 0.881 Te
0.251 0.750 0.542 Te
0.449 0.750 0.145 Te
0.551 0.250 0.855 Te
0.749 0.250 0.458 Te
0.878 0.750 0.119 Te

***

CaCeGd2 | the Alexandria database | PBE-GGA | optimized geometry; symmetry = P4/mmm, No. 123; DOS(E_F) = 9.03 states/eV/f.u.; VASP energy = -35.39 eV/cell; ρ = 6.06 g/cm³; ΔH_f (0 K) = 0.178 eV/atom
1.0
5.217 0.000 0.000
0.000 5.217 0.000
0.000 0.000 4.977
Ca Ce Gd
1 1 2
direct
0.000 0.000 0.000 Ca
0.500 0.500 0.000 Ce
0.000 0.500 0.500 Gd
0.500 0.000 0.500 Gd

***

Ag2Sn2Pt | the Alexandria database | PBE-GGA | optimized geometry; symmetry = P4/mbm, No. 127; DOS(E_F) = 2.11 states/eV/f.u.; VASP energy = -39.57 eV/cell; ρ = 9.98 g/cm³; ΔH_f (0 K) = -0.007 eV/atom
1.0
6.996 0.000 0.000
0.000 6.996 0.000
0.000 0.000 4.407
Ag Sn Pt
4 4 2
direct
0.149 0.351 0.000 Ag
0.351 0.851 0.000 Ag
0.649 0.149 0.000 Ag
0.851 0.649 0.000 Ag
0.152 0.652 0.500 Sn
0.348 0.152 0.500 Sn
0.652 0.848 0.500 Sn
0.848 0.348 0.500 Sn
0.000 0.000 0.500 Pt
0.500 0.500 0.500 Pt

***

DyHo7In4 | the Alexandria database | PBE-GGA | optimized geometry; symmetry = C2/m, No. 12; DOS(E_F) = 12.84 states/eV/f.u.; VASP energy = -48.60 eV/cell; ρ = 8.38 g/cm³; ΔH_f (0 K) = -0.083 eV/atom
1.0
7.234 -2.820 0.000
7.234 2.820 0.000
-5.764 0.000 8.627
Dy Ho In
1 7 4
direct
0.000 0.000 0.000 Dy
0.064 0.064 0.397 Ho
0.211 0.211 0.878 Ho
0.278 0.278 0.336 Ho
0.500 0.500 0.000 Ho
0.722 0.722 0.664 Ho
0.789 0.789 0.122 Ho
0.936 0.936 0.603 Ho
0.319 0.319 0.665 In
0.440 0.440 0.245 In
0.560 0.560 0.755 In
0.681 0.681 0.335 In

***

Nd3MgPa2N6 | the Alexandria database | PBE-GGA | optimized geometry; symmetry = C2/m, No. 12; DOS(E_F) = 5.30 states/eV/f.u.; VASP energy = -101.63 eV/cell; ρ = 8.88 g/cm³; raw formation energy = -1.40 eV per atom
1.0
3.037 -5.261 0.000
3.037 5.261 0.000
-2.020 0.000 5.871
Nd Mg Pa N
3 1 2 6
direct
0.000 0.000 0.000 Nd
0.336 0.664 0.000 Nd
0.664 0.336 0.000 Nd
0.500 0.500 0.500 Mg
0.167 0.833 0.500 Pa
0.833 0.167 0.500 Pa
0.081 0.427 0.282 N
0.227 0.227 0.718 N
0.427 0.081 0.282 N
0.573 0.919 0.718 N
0.773 0.773 0.282 N
0.919 0.573 0.718 N

***

NaGeSe2 | the Alexandria database | PBE-GGA | optimized geometry; symmetry = P1, No. 1; DOS(E_F) = 0.48 states/eV/f.u.; VASP energy = -30.98 eV/cell; ρ = 3.76 g/cm³; raw formation energy = -0.65 eV per atom
1.0
3.858 0.000 0.000
0.002 7.146 0.000
0.001 3.056 8.125
Na Ge Se
2 2 4
direct
0.000 0.000 0.000 Na
0.000 0.499 0.500 Na
0.498 0.039 0.349 Ge
0.498 0.959 0.651 Ge
0.500 0.229 0.740 Se
0.500 0.770 0.259 Se
0.998 0.267 0.241 Se
0.998 0.731 0.759 Se